Material: DyThAg
Method: DFT, PBE
State: optimized geometry

Results
Theoretical density in g/cm³: 9.98
ΔE_f in kJ/mol of formula units: 33
Crystal system: trigonal

a b c (Å): 5.1338 5.1338 3.6606
angles (deg): 90.00 90.00 120.00
Space group P3m1 (No. 156)
Inequivalent atoms, fractional coordinates:
1 Dy 0.0000 0.0000 0.0000 [1 per cell]
2 Th 0.3333 0.6667 0.4655 [1 per cell]
3 Ag 0.6667 0.3333 0.8607 [1 per cell]


Material: La2FePt
Method: DFT, PBE
State: optimized geometry

Results
Theoretical density in g/cm³: 9.72
ΔE_f in kJ/mol of formula units: -59
Crystal system: tetragonal

a b c (Å): 7.586 7.586 6.281
angles (deg): 90.00 90.00 90.00
Space group I-42d (No. 122)
Inequivalent atoms, fractional coordinates:
1 La 0.212 0.250 0.125 [8 per cell]
2 Fe 0.000 0.000 0.000 [4 per cell]
3 Pt 0.000 0.000 0.500 [4 per cell]


Material: CsCu2GeF8
Method: DFT, PBE
State: optimized geometry

Results
Theoretical density in g/cm³: 4.17
Crystal system: triclinic
DFT total energy in eV/cell: -53.2

a b c (Å): 5.250 5.256 7.959
angles (deg): 71.29 71.50 72.97
Space group P-1 (No. 2)
Inequivalent atoms, fractional coordinates:
1 Cs 0.000 0.000 0.000 [1 per cell]
2 Cu 0.442 0.443 0.217 [2 per cell]
3 Ge 0.000 0.000 0.500 [1 per cell]
4 F 0.175 0.760 0.674 [2 per cell]
5 F 0.238 0.233 0.445 [2 per cell]
6 F 0.238 0.821 0.329 [2 per cell]
7 F 0.355 0.348 0.008 [2 per cell]


Material: CrMoBr2
Method: DFT, PBE
State: optimized geometry

Results
Theoretical density in g/cm³: 5.65
Crystal system: tetragonal
DFT total energy in eV/cell: -41.8

a b c (Å): 3.933 3.933 11.690
angles (deg): 90.00 90.00 90.00
Space group I-4m2 (No. 119)
Inequivalent atoms, fractional coordinates:
1 Cr 0.000 0.000 0.000 [2 per cell]
2 Mo 0.000 0.500 0.750 [2 per cell]
3 Br 0.000 0.000 0.500 [2 per cell]
4 Br 0.000 0.500 0.250 [2 per cell]


Material: KLiTa2
Method: DFT, PBE
State: optimized geometry

Results
Theoretical density in g/cm³: 8.37
ΔE_f in kJ/mol of formula units: 747
Crystal system: cubic

a b c (Å): 6.865 6.865 6.865
angles (deg): 90.00 90.00 90.00
Space group Fm-3m (No. 225)
Inequivalent atoms, fractional coordinates:
1 K 0.000 0.000 0.000 [4 per cell]
2 Li 0.000 0.000 0.500 [4 per cell]
3 Ta 0.250 0.250 0.250 [8 per cell]


Material: NdDy6In2
Method: DFT, PBE
State: optimized geometry

Results
Theoretical density in g/cm³: 8.20
ΔE_f in kJ/mol of formula units: -171
Crystal system: monoclinic

a b c (Å): 12.738 3.769 11.960
angles (deg): 90.00 107.86 90.00
Space group C2/m (No. 12)
Inequivalent atoms, fractional coordinates:
1 Nd 0.000 0.000 0.000 [2 per cell]
2 Dy 0.012 0.000 0.344 [4 per cell]
3 Dy 0.187 0.500 0.874 [4 per cell]
4 Dy 0.190 0.500 0.582 [4 per cell]
5 In 0.145 0.500 0.216 [4 per cell]


Material: GaBi4Pb5
Method: DFT, PBE
State: optimized geometry

Results
Theoretical density in g/cm³: 10.33
ΔE_f in kJ/mol of formula units: 44
Crystal system: triclinic

a b c (Å): 4.797 7.111 9.608
angles (deg): 100.39 104.21 90.37
Space group P-1 (No. 2)
Inequivalent atoms, fractional coordinates:
1 Ga 0.000 0.000 0.000 [1 per cell]
2 Bi 0.209 0.092 0.410 [2 per cell]
3 Bi 0.409 0.712 0.813 [2 per cell]
4 Pb 0.000 0.500 0.000 [1 per cell]
5 Pb 0.191 0.577 0.387 [2 per cell]
6 Pb 0.404 0.182 0.812 [2 per cell]


Material: RbP2RuO
Method: DFT, PBE
State: optimized geometry

Results
Theoretical density in g/cm³: 4.56
Crystal system: tetragonal
DFT total energy in eV/cell: -25.3

a b c (Å): 4.567 4.567 4.615
angles (deg): 90.00 90.00 90.00
Space group P4/mmm (No. 123)
Inequivalent atoms, fractional coordinates:
1 Rb 0.000 0.000 0.000 [1 per cell]
2 P 0.000 0.500 0.500 [2 per cell]
3 Ru 0.500 0.500 0.500 [1 per cell]
4 O 0.500 0.500 0.000 [1 per cell]


Material: LiPmPd2
Method: DFT, PBE
State: optimized geometry

Results
Theoretical density in g/cm³: 8.00
ΔE_f in kJ/mol of formula units: -241
Crystal system: tetragonal

a b c (Å): 3.536 3.536 6.054
angles (deg): 90.00 90.00 90.00
Space group P4/mmm (No. 123)
Inequivalent atoms, fractional coordinates:
1 Li 0.000 0.000 0.000 [1 per cell]
2 Pm 0.000 0.000 0.500 [1 per cell]
3 Pd 0.500 0.500 0.228 [2 per cell]


Material: TaSbW2
Method: DFT, PBE
State: optimized geometry

Results
Theoretical density in g/cm³: 14.92
Crystal system: trigonal
DFT total energy in eV/cell: -120.1

a b c (Å): 3.1199 3.1199 26.5582
angles (deg): 90.00 90.00 120.00
Space group R3m (No. 160, hexagonal axes)
Inequivalent atoms, fractional coordinates:
1 Ta 0.0000 0.0000 0.0000 [3 per cell]
2 Sb 0.0000 0.0000 0.7574 [3 per cell]
3 W 0.0000 0.0000 0.2526 [3 per cell]
4 W 0.0000 0.0000 0.5129 [3 per cell]


Material: YBeIn
Method: DFT, PBE
State: optimized geometry

Results
Theoretical density in g/cm³: 5.67
ΔE_f in kJ/mol of formula units: -48
Crystal system: orthorhombic

a b c (Å): 4.015 10.548 5.886
angles (deg): 90.00 90.00 90.00
Space group Cmcm (No. 63)
Inequivalent atoms, fractional coordinates:
1 Y 0.000 0.205 0.250 [4 per cell]
2 Be 0.000 0.099 0.750 [4 per cell]
3 In 0.000 0.500 0.000 [4 per cell]


Material: NaH2W2
Method: DFT, PBE
State: optimized geometry

Results
Theoretical density in g/cm³: 10.72
Crystal system: tetragonal
DFT total energy in eV/cell: -60.6

a b c (Å): 3.539 3.539 9.713
angles (deg): 90.00 90.00 90.00
Space group I4/mmm (No. 139)
Inequivalent atoms, fractional coordinates:
1 Na 0.000 0.000 0.000 [2 per cell]
2 H 0.000 0.500 0.250 [4 per cell]
3 W 0.000 0.000 0.316 [4 per cell]


Material: NaCa2F6
Method: DFT, PBE
State: optimized geometry

Results
Theoretical density in g/cm³: 3.08
Crystal system: trigonal
DFT total energy in eV/cell: -45.2

a b c (Å): 6.1249 6.1249 3.6012
angles (deg): 90.00 90.00 120.00
Space group P-3 (No. 147)
Inequivalent atoms, fractional coordinates:
1 Na 0.0000 0.0000 0.0000 [1 per cell]
2 Ca 0.3333 0.6667 0.2605 [2 per cell]
3 F 0.0820 0.3894 0.7546 [6 per cell]


Material: Ta7Nb2Ru
Method: DFT, PBE
State: optimized geometry

Results
Theoretical density in g/cm³: 14.31
ΔE_f in kJ/mol of formula units: 63
Crystal system: triclinic

a b c (Å): 2.841 5.417 11.812
angles (deg): 96.50 93.32 90.24
Space group P-1 (No. 2)
Inequivalent atoms, fractional coordinates:
1 Ta 0.000 0.000 0.000 [1 per cell]
2 Ta 0.215 0.699 0.808 [2 per cell]
3 Ta 0.303 0.798 0.192 [2 per cell]
4 Ta 0.397 0.899 0.601 [2 per cell]
5 Nb 0.096 0.599 0.398 [2 per cell]
6 Ru 0.500 0.500 0.000 [1 per cell]


Material: TbCdPb2
Method: DFT, PBE
State: optimized geometry

Results
Theoretical density in g/cm³: 10.55
ΔE_f in kJ/mol of formula units: -124
Crystal system: tetragonal

a b c (Å): 4.883 4.883 4.525
angles (deg): 90.00 90.00 90.00
Space group P4/mmm (No. 123)
Inequivalent atoms, fractional coordinates:
1 Tb 0.000 0.000 0.000 [1 per cell]
2 Cd 0.500 0.500 0.000 [1 per cell]
3 Pb 0.000 0.500 0.500 [2 per cell]


Material: NdZr2As4
Method: DFT, PBE
State: optimized geometry

Results
Theoretical density in g/cm³: 6.34
ΔE_f in kJ/mol of formula units: -647
Crystal system: orthorhombic

a b c (Å): 3.952 13.013 12.759
angles (deg): 90.00 90.00 90.00
Space group Cmcm (No. 63)
Inequivalent atoms, fractional coordinates:
1 Nd 0.000 0.105 0.250 [4 per cell]
2 Zr 0.000 0.365 0.055 [8 per cell]
3 As 0.000 0.000 0.000 [4 per cell]
4 As 0.000 0.260 0.630 [8 per cell]
5 As 0.000 0.435 0.250 [4 per cell]


Material: PmThTeIr
Method: DFT, PBE
State: optimized geometry

Results
Theoretical density in g/cm³: 9.86
Crystal system: trigonal
DFT total energy in eV/cell: -85.8

a b c (Å): 4.2085 4.2085 22.9491
angles (deg): 90.00 90.00 120.00
Space group R3m (No. 160, hexagonal axes)
Inequivalent atoms, fractional coordinates:
1 Pm 0.0000 0.0000 0.0000 [3 per cell]
2 Th 0.0000 0.0000 0.8018 [3 per cell]
3 Te 0.0000 0.0000 0.2352 [3 per cell]
4 Ir 0.0000 0.0000 0.4049 [3 per cell]


Material: Hf2Mg2Sb
Method: DFT, PBE
State: optimized geometry

Results
Theoretical density in g/cm³: 7.11
Crystal system: tetragonal
DFT total energy in eV/cell: -53.9

a b c (Å): 7.298 7.298 4.628
angles (deg): 90.00 90.00 90.00
Space group P4/mbm (No. 127)
Inequivalent atoms, fractional coordinates:
1 Hf 0.146 0.354 0.000 [4 per cell]
2 Mg 0.147 0.647 0.500 [4 per cell]
3 Sb 0.000 0.000 0.000 [2 per cell]


Material: Ti6AlGe3
Method: DFT, PBE
State: optimized geometry

Results
Theoretical density in g/cm³: 5.40
ΔE_f in kJ/mol of formula units: -537
Crystal system: orthorhombic

a b c (Å): 9.780 9.675 6.911
angles (deg): 90.00 90.00 90.00
Space group Cmcm (No. 63)
Inequivalent atoms, fractional coordinates:
1 Ti 0.000 0.168 0.003 [8 per cell]
2 Ti 0.174 0.500 0.000 [8 per cell]
3 Ti 0.249 0.250 0.250 [8 per cell]
4 Al 0.000 0.369 0.750 [4 per cell]
5 Ge 0.000 0.372 0.250 [4 per cell]
6 Ge 0.132 0.002 0.750 [8 per cell]


Material: Ca6Bi2Sb
Method: DFT, PBE
State: optimized geometry

Results
Theoretical density in g/cm³: 3.93
Crystal system: monoclinic
DFT total energy in eV/cell: -59.6

a b c (Å): 7.312 8.433 12.949
angles (deg): 90.00 124.38 90.00
Space group P2_1/c (No. 14)
Inequivalent atoms, fractional coordinates:
1 Ca 0.093 0.189 0.433 [4 per cell]
2 Ca 0.266 0.678 0.446 [4 per cell]
3 Ca 0.362 0.046 0.234 [4 per cell]
4 Bi 0.212 0.099 0.754 [4 per cell]
5 Sb 0.500 0.000 0.500 [2 per cell]


Material: Dy2S3
Method: DFT, PBE
State: optimized geometry

Results
Theoretical density in g/cm³: 6.47
Crystal system: orthorhombic
DFT total energy in eV/cell: -127.7

a b c (Å): 7.311 3.889 15.200
angles (deg): 90.00 90.00 90.00
Space group Pnma (No. 62)
Inequivalent atoms, fractional coordinates:
1 Dy 0.141 0.250 0.205 [4 per cell]
2 Dy 0.234 0.750 0.457 [4 per cell]
3 S 0.010 0.250 0.392 [4 per cell]
4 S 0.123 0.750 0.068 [4 per cell]
5 S 0.150 0.250 0.782 [4 per cell]


Material: HgS3F
Method: DFT, PBE
State: optimized geometry

Results
Theoretical density in g/cm³: 4.13
Crystal system: cubic
DFT total energy in eV/cell: -9.6

a b c (Å): 5.027 5.027 5.027
angles (deg): 90.00 90.00 90.00
Space group Pm-3m (No. 221)
Inequivalent atoms, fractional coordinates:
1 Hg 0.000 0.000 0.000 [1 per cell]
2 S 0.000 0.000 0.500 [3 per cell]
3 F 0.500 0.500 0.500 [1 per cell]


Material: POs2Pd
Method: DFT, PBE
State: optimized geometry

Results
Theoretical density in g/cm³: 10.91
ΔE_f in kJ/mol of formula units: 361
Crystal system: tetragonal

a b c (Å): 5.260 5.260 11.392
angles (deg): 90.00 90.00 90.00
Space group I-42d (No. 122)
Inequivalent atoms, fractional coordinates:
1 P 0.000 0.000 0.000 [4 per cell]
2 Os 0.209 0.250 0.125 [8 per cell]
3 Pd 0.000 0.000 0.500 [4 per cell]


Material: EuTh2Al
Method: DFT, PBE
State: optimized geometry

Results
Theoretical density in g/cm³: 8.73
ΔE_f in kJ/mol of formula units: 77
Crystal system: trigonal

a b c (Å): 3.4191 3.4191 36.2336
angles (deg): 90.00 90.00 120.00
Space group R-3m (No. 166, hexagonal axes)
Inequivalent atoms, fractional coordinates:
1 Eu 0.0000 0.0000 0.0000 [3 per cell]
2 Th 0.0000 0.0000 0.0958 [6 per cell]
3 Al 0.0000 0.0000 0.5000 [3 per cell]


Computed total magnetization (Bohr magnetons per cell) in order:
0.00, 0.00, 1.00, 1.05, 0.00, 0.00, 0.00, 0.00, 0.00, 0.00, 0.00, 0.00, 1.09, 0.00, 0.00, 0.00, 0.00, 0.02, 0.00, 1.93, 0.00, 4.07, 0.00, 21.85